#P
# ScCr2Mo

An optimized crystal structure of ScCr2Mo (PBE-GGA, Alexandria).

Output
Space group ... No. 216
Density of states at the Fermi level ... 4.4 states/eV/cell

Lattice parameters (Å, degrees): 4.4292 4.4292 4.4292 60.00 60.00 60.00
Last column: nearest neighbours and their distance in Å.
Positions (direct):
Cr 0.0000 0.0000 0.0000  4 Sc 2.71, 4 Cr 2.71
Cr 0.2500 0.2500 0.2500  4 Cr 2.71, 4 Mo 2.71
Mo 0.5000 0.5000 0.5000  4 Cr 2.71, 4 Sc 2.71
Sc 0.7500 0.7500 0.7500  4 Mo 2.71, 4 Cr 2.71

#Q
# ScCr2Mo

An optimized crystal structure of ScCr2Mo (PBE-GGA, Alexandria).

Output
Space group ... No. 12
Density of states at the Fermi level ... 3.9 states/eV/cell

Lattice parameters (Å, degrees): 4.2983 4.2983 5.3899 82.98 82.98 40.29
Last column: nearest neighbours and their distance in Å.
Positions (direct):
Cr 0.9901 0.9901 0.0440  3 Mo 2.50-2.57, 1 Sc 2.66, 2 Cr 2.69
Cr 0.5099 0.5099 0.4560  3 Mo 2.50-2.57, 1 Sc 2.66, 2 Cr 2.69
Mo 0.2500 0.2500 0.2500  6 Cr 2.50-2.57
Sc 0.7500 0.7500 0.7500  6 Cr 2.66-2.87, 2 Sc 2.96

Most stable one: #P, least stable one: #Q.

#P
# AgC2

An optimized crystal structure of AgC2 (PBE-GGA, Alexandria).

Output
Space group ... No. 194
Density of states at the Fermi level ... 3.7 states/eV/cell

Lattice parameters (Å, degrees): 3.4197 3.4197 7.5370 90.00 90.00 120.00
Last column: nearest neighbours and their distance in Å.
Positions (direct):
Ag 0.0000 0.0000 0.0000  6 C 2.34
Ag 0.0000 0.0000 0.5000  6 C 2.34
C 0.3333 0.6667 0.8344  1 C 1.27
C 0.6667 0.3333 0.3344  1 C 1.27
C 0.3333 0.6667 0.6656  1 C 1.27
C 0.6667 0.3333 0.1656  1 C 1.27

#Q
# AgC2

An optimized crystal structure of AgC2 (PBE-GGA, Alexandria).

Output
Space group ... No. 160
Density of states at the Fermi level ... 2.2 states/eV/cell

Lattice parameters (Å, degrees): 4.6127 4.6127 4.6127 46.97 46.97 46.97
Last column: nearest neighbours and their distance in Å.
Positions (direct):
C 0.7564 0.7564 0.7564  1 C 1.28
C 0.6522 0.6522 0.6522  1 C 1.28
Ag 0.9247 0.9247 0.9247  4 C 2.07-2.25

Most stable one: #P, least stable one: #Q.